Compound: SrScAuSe3
Source: OQMD via LeMat-Bulk
Functional: PBE-GGA
Structure: relaxed

Summary:
As for the space group: No. 62. The final energy comes out at -118.7 eV per cell.

Cell lengths 11.561, 3.985, 13.266 Å; angles 90.00, 90.00, 90.00 degrees
Positions (direct):
Sr 0.246 0.250 0.037
Sr 0.254 0.750 0.537
Sr 0.746 0.250 0.463
Sr 0.754 0.750 0.963
Sc 0.025 0.750 0.759
Sc 0.475 0.250 0.259
Sc 0.525 0.750 0.741
Sc 0.975 0.250 0.241
Au 0.175 0.750 0.267
Au 0.325 0.250 0.767
Au 0.675 0.750 0.233
Au 0.825 0.250 0.733
Se 0.049 0.750 0.112
Se 0.074 0.250 0.626
Se 0.226 0.750 0.859
Se 0.274 0.250 0.359
Se 0.426 0.750 0.126
Se 0.451 0.250 0.612
Se 0.549 0.750 0.388
Se 0.574 0.250 0.874
Se 0.726 0.750 0.641
Se 0.774 0.250 0.141
Se 0.926 0.750 0.374
Se 0.951 0.250 0.888

=====

Compound: CoSbW4N2
Source: OQMD via LeMat-Bulk
Functional: PBE-GGA
Structure: relaxed

Summary:
As for the space group: No. 187. The final energy comes out at -76.4 eV per cell.

Cell lengths 2.889, 2.889, 15.045 Å; angles 90.00, 90.00, 120.00 degrees
Positions (direct):
Co 0.000 0.000 0.000
Sb 0.333 0.667 0.500
W 0.000 0.000 0.325
W 0.000 0.000 0.675
W 0.333 0.667 0.138
W 0.333 0.667 0.862
N 0.667 0.333 0.234
N 0.667 0.333 0.766

=====

Compound: AcTbCd
Source: OQMD via LeMat-Bulk
Functional: PBE-GGA
Structure: relaxed

Summary:
As for the space group: No. 216. For the formation energy, the calculation gives 403 meV/atom. The final energy comes out at -8.4 eV per cell.

Cell lengths 5.249, 5.249, 5.249 Å; angles 60.00, 60.00, 60.00 degrees
Positions (direct):
Ac 0.000 0.000 0.000
Tb 0.750 0.750 0.750
Cd 0.500 0.500 0.500

=====

Compound: NbTlAuSe2S
Source: OQMD via LeMat-Bulk
Functional: PBE-GGA
Structure: relaxed

Summary:
As for the space group: No. 63. The final energy comes out at -58.1 eV per cell.

Cell lengths 7.819, 7.819, 9.958 Å; angles 90.00, 90.00, 152.65 degrees
Positions (direct):
Nb 0.000 0.000 0.000
Nb 0.000 0.000 0.500
Tl 0.250 0.750 0.750
Tl 0.750 0.250 0.250
Au 0.450 0.550 0.250
Au 0.550 0.450 0.750
Se 0.372 0.628 0.026
Se 0.372 0.628 0.474
Se 0.628 0.372 0.526
Se 0.628 0.372 0.974
S 0.065 0.935 0.250
S 0.935 0.065 0.750

=====

Compound: Au2N
Source: OQMD via LeMat-Bulk
Functional: PBE-GGA
Structure: relaxed

Summary:
As for the space group: No. 136. The final energy comes out at -21.8 eV per cell.

Cell lengths 4.979, 4.979, 3.913 Å; angles 90.00, 90.00, 90.00 degrees
Positions (direct):
Au 0.190 0.190 0.000
Au 0.310 0.690 0.500
Au 0.690 0.310 0.500
Au 0.810 0.810 0.000
N 0.000 0.000 0.500
N 0.500 0.500 0.000

=====

Compound: HfTaInCu
Source: OQMD via LeMat-Bulk
Functional: PBE-GGA
Structure: relaxed

Summary:
As for the space group: No. 216. The final energy comes out at -26.7 eV per cell.

Cell lengths 4.772, 4.772, 4.772 Å; angles 60.00, 60.00, 60.00 degrees
Positions (direct):
Hf 0.000 0.000 0.000
Ta 0.250 0.250 0.250
In 0.500 0.500 0.500
Cu 0.750 0.750 0.750

=====

Compound: NdAgPd4
Source: OQMD via LeMat-Bulk
Functional: PBE-GGA
Structure: relaxed

Summary:
As for the space group: No. 216. For the formation energy, the calculation gives -542 meV/atom. The final energy comes out at -31.5 eV per cell.

Cell lengths 5.376, 5.376, 5.376 Å; angles 60.00, 60.00, 60.00 degrees
Positions (direct):
Nd 0.000 0.000 0.000
Ag 0.750 0.750 0.750
Pd 0.375 0.375 0.375
Pd 0.375 0.375 0.874
Pd 0.375 0.874 0.375
Pd 0.874 0.375 0.375

=====

Compound: K2RbCd2F7
Source: OQMD via LeMat-Bulk
Functional: PBE-GGA
Structure: relaxed

Summary:
As for the space group: No. 139. The final energy comes out at -47.5 eV per cell.

Cell lengths 11.165, 11.165, 11.165 Å; angles 157.77, 157.77, 31.64 degrees
Positions (direct):
K 0.184 0.184 0.000
K 0.816 0.816 0.000
Rb 0.000 0.000 0.000
Cd 0.397 0.397 0.000
Cd 0.603 0.603 0.000
F 0.099 0.599 0.500
F 0.296 0.296 0.000
F 0.401 0.901 0.500
F 0.500 0.500 0.000
F 0.599 0.099 0.500
F 0.704 0.704 0.000
F 0.901 0.401 0.500

=====

Compound: Tm12Co6Hg
Source: OQMD via LeMat-Bulk
Functional: PBE-GGA
Structure: relaxed

Summary:
As for the space group: No. 204. For the formation energy, the calculation gives -267 meV/atom. The final energy comes out at -101.7 eV per cell.

Cell lengths 8.199, 8.199, 8.199 Å; angles 109.47, 109.47, 109.47 degrees
Positions (direct):
Tm 0.107 0.301 0.806
Tm 0.194 0.495 0.301
Tm 0.194 0.893 0.699
Tm 0.301 0.194 0.495
Tm 0.301 0.806 0.107
Tm 0.495 0.301 0.194
Tm 0.505 0.699 0.806
Tm 0.699 0.194 0.893
Tm 0.699 0.806 0.505
Tm 0.806 0.107 0.301
Tm 0.806 0.505 0.699
Tm 0.893 0.699 0.194
Co 0.115 0.500 0.615
Co 0.385 0.885 0.500
Co 0.500 0.385 0.885
Co 0.500 0.615 0.115
Co 0.615 0.115 0.500
Co 0.885 0.500 0.385
Hg 0.000 0.000 0.000

=====

Compound: BaGa2Ag2
Source: OQMD via LeMat-Bulk
Functional: PBE-GGA
Structure: relaxed

Summary:
As for the space group: No. 139. The final energy comes out at -15.2 eV per cell.

Cell lengths 6.128, 6.128, 6.128 Å; angles 132.96, 132.96, 68.72 degrees
Positions (direct):
Ba 0.000 0.000 0.000
Ga 0.372 0.372 0.000
Ga 0.628 0.628 0.000
Ag 0.250 0.750 0.500
Ag 0.750 0.250 0.500

=====

Compound: KDyO3
Source: OQMD via LeMat-Bulk
Functional: PBE-GGA
Structure: relaxed

Summary:
As for the space group: No. 62. The final energy comes out at -119.7 eV per cell.

Cell lengths 6.294, 8.811, 6.168 Å; angles 90.00, 90.00, 90.00 degrees
Positions (direct):
K 0.013 0.250 0.004
K 0.487 0.750 0.504
K 0.513 0.250 0.496
K 0.987 0.750 0.996
Dy 0.000 0.000 0.500
Dy 0.000 0.500 0.500
Dy 0.500 0.000 0.000
Dy 0.500 0.500 0.000
O 0.015 0.750 0.466
O 0.231 0.519 0.770
O 0.231 0.981 0.770
O 0.269 0.019 0.270
O 0.269 0.481 0.270
O 0.485 0.250 0.966
O 0.515 0.750 0.034
O 0.731 0.519 0.730
O 0.731 0.981 0.730
O 0.769 0.019 0.230
O 0.769 0.481 0.230
O 0.985 0.250 0.534

=====

Compound: NbPb2O4
Source: OQMD via LeMat-Bulk
Functional: PBE-GGA
Structure: relaxed

Summary:
As for the space group: No. 227. The final energy comes out at -98.1 eV per cell.

Cell lengths 7.028, 7.028, 7.028 Å; angles 60.00, 60.00, 60.00 degrees
Positions (direct):
Nb 0.125 0.125 0.125
Nb 0.875 0.875 0.875
Pb 0.000 0.500 0.500
Pb 0.500 0.000 0.500
Pb 0.500 0.500 0.000
Pb 0.500 0.500 0.500
O 0.202 0.766 0.766
O 0.234 0.234 0.234
O 0.234 0.234 0.798
O 0.234 0.798 0.234
O 0.766 0.202 0.766
O 0.766 0.766 0.202
O 0.766 0.766 0.766
O 0.798 0.234 0.234

=====

- Which value of final energy does entry 11 give?
  -119.7 eV per cell